Entry 1:
! GGA-PBE CsTa2W, relaxed; values from VASP
&SYSTEM
  ibrav = 0, nat = 8, ntyp = 3
/
ATOMIC_SPECIES
Cs 132.91 Cs.upf
Ta 180.95 Ta.upf
W 183.84 W.upf
CELL_PARAMETERS angstrom
-2.741 2.741 8.497
2.741 -2.741 8.497
2.741 2.741 -8.497
ATOMIC_POSITIONS angstrom
Cs 0.000 0.000 0.000
Cs 0.000 2.741 4.248
Ta 1.371 -0.395 6.372
Ta 2.346 1.371 2.124
Ta 1.371 3.136 -2.124
Ta 0.395 1.371 10.621
W 2.741 0.000 4.248
W 0.000 0.000 8.497
! Space group   I-42d, No. 122
! DOS(E_F)   1.30 states/eV/atom
! ΔE_f   2.13 eV/atom
! Energy relative to the lowest polymorph listed for this composition   317.8 meV/atom



Entry 2:
! GGA-PBE CsTa2W, relaxed; values from VASP
&SYSTEM
  ibrav = 0, nat = 4, ntyp = 3
/
ATOMIC_SPECIES
Cs 132.91 Cs.upf
Ta 180.95 Ta.upf
W 183.84 W.upf
CELL_PARAMETERS angstrom
0.000 3.443 3.443
3.443 0.000 3.443
3.443 3.443 0.000
ATOMIC_POSITIONS angstrom
Cs 0.000 0.000 0.000
Ta 1.722 1.722 1.722
Ta 5.165 5.165 5.165
W 3.443 3.443 3.443
! Space group   Fm-3m, No. 225
! DOS(E_F)   1.41 states/eV/atom
! ΔE_f   1.82 eV/atom
! Energy relative to the lowest polymorph listed for this composition   0.0 meV/atom



Entry 3:
! GGA-PBE CsTa3W, relaxed; values from VASP
&SYSTEM
  ibrav = 0, nat = 5, ntyp = 3
/
ATOMIC_SPECIES
Cs 132.91 Cs.upf
Ta 180.95 Ta.upf
W 183.84 W.upf
CELL_PARAMETERS angstrom
4.928 0.000 0.000
0.000 4.928 0.000
0.000 0.000 4.928
ATOMIC_POSITIONS angstrom
Cs 0.000 0.000 0.000
Ta 0.000 0.000 2.464
Ta 0.000 2.464 0.000
Ta 2.464 0.000 0.000
W 2.464 2.464 2.464
! Space group   Pm-3m, No. 221
! DOS(E_F)   1.70 states/eV/atom
! ΔE_f   3.62 eV/atom
! Energy relative to the lowest polymorph listed for this composition   1810.5 meV/atom



Entry 4:
! GGA-PBE Cs2TaW, relaxed; values from VASP
&SYSTEM
  ibrav = 0, nat = 4, ntyp = 3
/
ATOMIC_SPECIES
Cs 132.91 Cs.upf
Ta 180.95 Ta.upf
W 183.84 W.upf
CELL_PARAMETERS angstrom
0.000 3.733 3.733
3.733 0.000 3.733
3.733 3.733 0.000
ATOMIC_POSITIONS angstrom
Cs 1.866 1.866 1.866
Cs 5.599 5.599 5.599
Ta 0.000 0.000 0.000
W 3.733 3.733 3.733
! Space group   Fm-3m, No. 225
! DOS(E_F)   1.44 states/eV/atom
! ΔE_f   3.09 eV/atom



Entry 5:
! GGA-PBE CsTa3W, relaxed; values from VASP
&SYSTEM
  ibrav = 0, nat = 5, ntyp = 3
/
ATOMIC_SPECIES
Cs 132.91 Cs.upf
Ta 180.95 Ta.upf
W 183.84 W.upf
CELL_PARAMETERS angstrom
5.084 0.000 0.000
0.000 5.084 0.000
0.000 0.000 5.084
ATOMIC_POSITIONS angstrom
Cs 0.000 0.000 0.000
Ta 0.000 2.542 2.542
Ta 2.542 0.000 2.542
Ta 2.542 2.542 0.000
W 2.542 2.542 2.542
! Space group   Pm-3m, No. 221
! DOS(E_F)   1.29 states/eV/atom
! ΔE_f   1.81 eV/atom
! Energy relative to the lowest polymorph listed for this composition   0.0 meV/atom



Entry 6:
! GGA-PBE CsYTa2, relaxed; values from VASP
&SYSTEM
  ibrav = 0, nat = 8, ntyp = 3
/
ATOMIC_SPECIES
Cs 132.91 Cs.upf
Y 88.91 Y.upf
Ta 180.95 Ta.upf
CELL_PARAMETERS angstrom
-2.365 2.365 11.161
2.365 -2.365 11.161
2.365 2.365 -11.161
ATOMIC_POSITIONS angstrom
Cs 0.000 0.000 0.000
Cs 0.000 2.365 5.580
Y 2.365 0.000 5.580
Y 0.000 0.000 11.161
Ta 1.182 -0.560 8.371
Ta 1.804 1.182 2.790
Ta 1.182 2.925 -2.790
Ta 0.560 1.182 13.951
! Space group   I-42d, No. 122
! DOS(E_F)   0.82 states/eV/atom
! ΔE_f   1.75 eV/atom